Compound: LuAgSnTe3
Source: the Open Quantum Materials Database
Functional: PBE
Structure: relaxed

The calculation puts the polymorph energy (0 for the lowest one) at 20 meV/atom.

The space group is C2/m (No. 12) and the conventional cell measures 19.256, 4.258 and 8.930 Å, with angles of 90.00, 102.04 and 90.00 degrees. The distinct sites, in fractional coordinates, are Lu at (0.162, 0.000, 0.088), Ag at (0.041, 0.500, 0.213), Sn at (0.129, 0.000, 0.573), Te at (0.000, 0.000, 0.000), Te at (0.000, 0.500, 0.500), Te at (0.175, 0.500, 0.853) and Te at (0.188, 0.500, 0.338).


Compound: PdPbO3
Source: the Open Quantum Materials Database
Functional: PBE
Structure: relaxed

Its calculated total energy is -5.26 eV per atom.

The space group is P4mm (No. 99) and the conventional cell measures 3.951, 3.951 and 4.239 Å, with angles of 90.00, 90.00 and 90.00 degrees. The distinct sites, in fractional coordinates, are Pd at (0.000, 0.000, 0.000), Pb at (0.500, 0.500, 0.440), O at (0.000, 0.000, 0.528) and O at (0.000, 0.500, 0.085).


Compound: RbZnSn
Source: the Open Quantum Materials Database
Functional: PBE
Structure: relaxed

The calculation puts the polymorph energy (0 for the lowest one) at 0 meV/atom.

The space group is F-43m (No. 216) and the conventional cell measures 7.440, 7.440 and 7.440 Å, with angles of 90.00, 90.00 and 90.00 degrees. The distinct sites, in fractional coordinates, are Rb at (0.000, 0.000, 0.000), Zn at (0.250, 0.250, 0.250) and Sn at (0.000, 0.000, 0.500).


Compound: La3Pd2PtPb3
Source: the Open Quantum Materials Database
Functional: PBE
Structure: relaxed

Its calculated total energy is -5.50 eV per atom.

The space group is P-62m (No. 189) and the conventional cell measures 7.8721, 7.8721 and 4.2445 Å, with angles of 90.00, 90.00 and 120.00 degrees. The distinct sites, in fractional coordinates, are La at (0.0000, 0.5919, 0.0000), Pd at (0.3333, 0.6667, 0.5000), Pt at (0.0000, 0.0000, 0.0000) and Pb at (0.0000, 0.2558, 0.5000).


Compound: BaNdZn
Source: the Open Quantum Materials Database
Functional: PBE
Structure: relaxed

The calculation puts the polymorph energy (0 for the lowest one) at 0 meV/atom.

The space group is F-43m (No. 216) and the conventional cell measures 7.646, 7.646 and 7.646 Å, with angles of 90.00, 90.00 and 90.00 degrees. The distinct sites, in fractional coordinates, are Ba at (0.000, 0.000, 0.000), Nd at (0.000, 0.000, 0.500) and Zn at (0.250, 0.250, 0.250).


Compound: Zr2NbCu
Source: the Open Quantum Materials Database
Functional: PBE
Structure: relaxed

As for the formation energy: 0.181 eV per atom.

The space group is F-43m (No. 216) and the conventional cell measures 6.669, 6.669 and 6.669 Å, with angles of 90.00, 90.00 and 90.00 degrees. The distinct sites, in fractional coordinates, are Zr at (0.000, 0.000, 0.000), Zr at (0.250, 0.250, 0.250), Nb at (0.000, 0.000, 0.500) and Cu at (0.250, 0.250, 0.750).


Compound: DyTmIn
Source: the Open Quantum Materials Database
Functional: PBE
Structure: relaxed

The calculation puts the polymorph energy (0 for the lowest one) at 0 meV/atom.

The space group is P6_3/mmc (No. 194) and the conventional cell measures 5.3428, 5.3428 and 6.6745 Å, with angles of 90.00, 90.00 and 120.00 degrees. The distinct sites, in fractional coordinates, are Dy at (0.0000, 0.0000, 0.0000), Tm at (0.3333, 0.6667, 0.2500) and In at (0.3333, 0.6667, 0.7500).


Compound: Nd2C2F
Source: the Open Quantum Materials Database
Functional: PBE
Structure: relaxed

Its calculated total energy is -7.19 eV per atom.

The space group is C2/c (No. 15) and the conventional cell measures 13.349, 4.319 and 6.558 Å, with angles of 90.00, 108.94 and 90.00 degrees. The distinct sites, in fractional coordinates, are Nd at (0.141, 0.177, 0.109), C at (0.221, 0.375, 0.513) and F at (0.000, 0.050, 0.750).


Compound: Re3AgP5
Source: the Open Quantum Materials Database
Functional: PBE
Structure: relaxed

Its calculated total energy is -6.97 eV per atom.

The space group is P6/mmm (No. 191) and the conventional cell measures 5.2500, 5.2500 and 7.0628 Å, with angles of 90.00, 90.00 and 120.00 degrees. The distinct sites, in fractional coordinates, are Re at (0.0000, 0.5000, 0.0000), Ag at (0.0000, 0.0000, 0.5000), P at (0.0000, 0.0000, 0.0000) and P at (0.3333, 0.6667, 0.2799).


Compound: LaY2Cu4Ge4
Source: the Open Quantum Materials Database
Functional: PBE
Structure: relaxed

Its calculated total energy is -5.28 eV per atom.

The space group is Immm (No. 71) and the conventional cell measures 4.230, 6.825 and 14.121 Å, with angles of 90.00, 90.00 and 90.00 degrees. The distinct sites, in fractional coordinates, are La at (0.000, 0.000, 0.000), Y at (0.000, 0.500, 0.130), Cu at (0.000, 0.311, 0.331), Ge at (0.000, 0.000, 0.220) and Ge at (0.000, 0.184, 0.500).


Compound: Be2AlAg
Source: the Open Quantum Materials Database
Functional: PBE
Structure: relaxed

Its calculated total energy is -3.17 eV per atom.

The space group is F-43m (No. 216) and the conventional cell measures 5.864, 5.864 and 5.864 Å, with angles of 90.00, 90.00 and 90.00 degrees. The distinct sites, in fractional coordinates, are Be at (0.000, 0.000, 0.000), Be at (0.250, 0.250, 0.250), Al at (0.250, 0.250, 0.750) and Ag at (0.000, 0.000, 0.500).


Compound: Nb2Co3Ir3
Source: the Open Quantum Materials Database
Functional: PBE
Structure: relaxed

The calculation puts the polymorph energy (0 for the lowest one) at 0 meV/atom. As for the formation energy: -0.378 eV per atom.

The space group is Pm (No. 6) and the conventional cell measures 5.395, 4.327 and 5.410 Å, with angles of 90.00, 119.79 and 90.00 degrees. The distinct sites, in fractional coordinates, are Nb at (0.000, 0.000, 0.000), Nb at (0.324, 0.500, 0.667), Co at (0.338, 0.500, 0.164), Co at (0.497, 0.000, 0.008), Co at (0.983, 0.000, 0.489), Ir at (0.490, 0.000, 0.483), Ir at (0.817, 0.500, 0.165) and Ir at (0.826, 0.500, 0.653).